Entry 1:
## V4Ga2Ge (PBE)

Data for crystalline V4Ga2Ge at its relaxed geometry.

a b c (Å): 7.2243 7.2243 7.2243
angles (deg): 143.59 143.59 52.45
Last column: nearest neighbours and their distance in Å.
Atoms (fractional coordinates):
V (0.0000, 0.5000, 0.5000)  2 Ge 2.26
V (0.1888, 0.1888, 0.0000)  1 Ge 2.45, 1 Ga 2.56
V (0.5000, 0.0000, 0.5000)  2 Ge 2.26
V (0.8112, 0.8112, 0.0000)  1 Ge 2.45, 1 Ga 2.56
Ga (0.3865, 0.3865, 0.0000)  5 V 2.56-2.69
Ga (0.6135, 0.6135, 0.0000)  5 V 2.56-2.69
Ge (0.0000, 0.0000, 0.0000)  6 V 2.26-2.45

Results
- Calculated formation energy: 660 meV/atom
- Uncorrected energy: -0.223 Ha/atom

=====

Entry 2:
## Tl2IBr (PBE)

Data for crystalline Tl2IBr at its relaxed geometry.

a b c (Å): 5.8824 5.8824 5.8824
angles (deg): 60.00 60.00 60.00
Last column: nearest neighbours and their distance in Å.
Atoms (fractional coordinates):
Tl (0.2500, 0.2500, 0.2500)  4 Br 3.60, 4 I 3.60
Tl (0.7500, 0.7500, 0.7500)  4 I 3.60, 4 Br 3.60
I (0.0000, 0.0000, 0.0000)  8 Tl 3.60
Br (0.5000, 0.5000, 0.5000)  8 Tl 3.60

Results
- Energy relative to the elements, uncorrected: -0.71 eV/atom
- Uncorrected energy: -0.099 Ha/atom

=====

Entry 3:
## LiAlZn (PBE)

Data for crystalline LiAlZn at its relaxed geometry.

a b c (Å): 7.7345 7.7345 4.4760
angles (deg): 90.00 90.00 158.96
Last column: nearest neighbours and their distance in Å.
Atoms (fractional coordinates):
Li (0.1355, 0.1355, 0.0000)  2 Li 2.37, 2 Zn 2.54
Li (0.8645, 0.8645, 0.5000)  2 Li 2.37, 2 Zn 2.54
Al (0.1922, 0.8078, 0.2500)  5 Zn 2.64-2.79, 2 Al 2.82
Al (0.8078, 0.1922, 0.7500)  5 Zn 2.64-2.79, 2 Al 2.82
Zn (0.3660, 0.6340, 0.2500)  2 Li 2.54, 5 Al 2.64-2.79, 2 Zn 2.82
Zn (0.6340, 0.3660, 0.7500)  2 Li 2.54, 5 Al 2.64-2.79, 2 Zn 2.82

Results
- Calculated formation energy: 13 meV/atom
- Uncorrected energy: -0.084 Ha/atom

=====

Entry 4:
## SmErP2 (PBE)

Data for crystalline SmErP2 at its relaxed geometry.

a b c (Å): 6.9876 6.9876 6.9876
angles (deg): 33.61 33.61 33.61
Last column: nearest neighbours and their distance in Å.
Atoms (fractional coordinates):
Sm (0.0000, 0.0000, 0.0000)  6 P 2.89
Er (0.5000, 0.5000, 0.5000)  6 P 2.82
P (0.2471, 0.2471, 0.2471)  3 Er 2.82, 3 Sm 2.89
P (0.7529, 0.7529, 0.7529)  3 Er 2.82, 3 Sm 2.89

Results
- Calculated formation energy: -1587 meV/atom
- Uncorrected energy: -0.243 Ha/atom

=====

Entry 5:
## ThNiN (PBE)

Data for crystalline ThNiN at its relaxed geometry.

a b c (Å): 6.7686 4.9482 5.3887
angles (deg): 90.00 90.00 90.00
Last column: nearest neighbours and their distance in Å.
Atoms (fractional coordinates):
Th (0.1780, 0.2500, 0.1401)  4 N 2.49-2.63
Th (0.3220, 0.7500, 0.6401)  4 N 2.49-2.63
Th (0.6780, 0.2500, 0.3599)  4 N 2.49-2.63
Th (0.8220, 0.7500, 0.8599)  4 N 2.49-2.63
Ni (0.0414, 0.2500, 0.6408)  2 N 2.01-2.02
Ni (0.4586, 0.7500, 0.1408)  2 N 2.01-2.02
Ni (0.5414, 0.2500, 0.8592)  2 N 2.01-2.02
Ni (0.9586, 0.7500, 0.3592)  2 N 2.01-2.02
N (0.1641, 0.7500, 0.0865)  2 Ni 2.01-2.02
N (0.3359, 0.2500, 0.5865)  2 Ni 2.01-2.02
N (0.6641, 0.7500, 0.4135)  2 Ni 2.01-2.02
N (0.8359, 0.2500, 0.9135)  2 Ni 2.01-2.02

Results
- Energy relative to the elements, uncorrected: -0.93 eV/atom
- Uncorrected energy: -0.298 Ha/atom

=====

Entry 6:
## Er5NiPb3 (PBE)

Data for crystalline Er5NiPb3 at its relaxed geometry.

a b c (Å): 9.1089 9.1089 6.6353
angles (deg): 90.00 90.00 120.00
Last column: nearest neighbours and their distance in Å.
Atoms (fractional coordinates):
Er (0.0000, 0.2380, 0.2500)  2 Ni 2.73
Er (0.0000, 0.7620, 0.7500)  2 Ni 2.73
Er (0.2380, 0.0000, 0.2500)  2 Ni 2.73
Er (0.2380, 0.2380, 0.7500)  2 Ni 2.73
Er (0.3333, 0.6667, 0.0000)  6 Pb 3.24, 2 Er 3.32
Er (0.3333, 0.6667, 0.5000)  6 Pb 3.24, 2 Er 3.32
Er (0.6667, 0.3333, 0.0000)  6 Pb 3.24, 2 Er 3.32
Er (0.6667, 0.3333, 0.5000)  6 Pb 3.24, 2 Er 3.32
Er (0.7620, 0.0000, 0.7500)  2 Ni 2.73
Er (0.7620, 0.7620, 0.2500)  2 Ni 2.73
Ni (0.0000, 0.0000, 0.0000)  6 Er 2.73
Ni (0.0000, 0.0000, 0.5000)  6 Er 2.73
Pb (0.0000, 0.3992, 0.7500)  7 Er 3.17-3.31
Pb (0.0000, 0.6008, 0.2500)  7 Er 3.17-3.31
Pb (0.3992, 0.0000, 0.7500)  7 Er 3.17-3.31
Pb (0.3992, 0.3992, 0.2500)  7 Er 3.17-3.31
Pb (0.6008, 0.0000, 0.2500)  7 Er 3.17-3.31
Pb (0.6008, 0.6008, 0.7500)  7 Er 3.17-3.31

Results
- Calculated formation energy: -517 meV/atom
- Uncorrected energy: -0.181 Ha/atom